8
Lattice="4.057 0.000 0.000 0.000 4.057 0.000 2.029 2.029 10.356" Properties=species:S:1:pos:R:3 comment="ZrTa2Hg PBE-GGA relaxed" magmom_total_mub_per_fu=0.000 e_form_ev_per_fu=2.2 crystal_system=tetragonal pbc="T T T"
Hg 0.000 0.000 0.000
Hg 4.057 2.029 5.178
Zr 2.029 2.029 0.000
Zr 2.029 4.057 5.178
Ta 3.017 1.014 2.589
Ta 1.041 3.043 2.589
Ta 3.043 3.069 7.767
Ta 5.072 5.045 7.767

11
Lattice="3.983 0.000 -1.212 -1.107 6.406 -3.639 0.116 -0.036 7.530" Properties=species:S:1:pos:R:3 comment="TlSn2Pd8 PBE-GGA relaxed" magmom_total_mub_per_fu=0.000 e_form_ev_per_fu=-4.3 crystal_system=orthorhombic de_polymorph_ev_per_fu=0.00 pbc="T T T"
Tl 1.991 0.000 -0.606
Sn -0.002 4.328 -0.007
Sn 2.994 2.043 2.687
Pd 1.688 5.743 -1.604
Pd 0.785 3.630 2.578
Pd 0.489 0.998 1.608
Pd -0.319 1.847 -1.049
Pd 2.502 5.373 1.071
Pd 2.207 2.740 0.101
Pd 1.304 0.628 4.284
Pd 3.310 4.524 3.728

12
Lattice="4.135 0.000 -1.125 -0.480 6.428 -1.763 -0.003 0.628 8.152" Properties=species:S:1:pos:R:3 comment="TbZn2Ga3 PBE-GGA relaxed" magmom_total_mub_per_fu=0.000 e_form_ev_per_fu=-1.9 crystal_system=monoclinic pbc="T T T"
Tb 0.383 1.321 1.407
Tb 3.270 5.735 3.856
Zn 1.802 5.510 -1.537
Zn 1.850 1.547 6.801
Zn 0.658 4.496 2.419
Zn 2.994 2.561 2.845
Ga 2.456 6.264 0.865
Ga -0.064 4.342 -0.236
Ga 1.315 3.663 4.832
Ga 2.338 3.393 0.431
Ga 3.717 2.715 5.500
Ga 1.197 0.792 4.398

10
Lattice="-2.438 2.722 -0.068 -4.122 -3.726 -1.355 1.466 1.446 5.336" Properties=species:S:1:pos:R:3 comment="RbH7Pd2 PBE-GGA relaxed" magmom_total_mub_per_fu=0.000 dft_energy_ev_per_fu=-35.34 crystal_system=orthorhombic pbc="T T T"
Rb 0.000 0.000 0.000
H -2.293 -2.033 0.835
H -0.363 -0.246 3.146
H -0.760 1.818 1.791
H -4.334 -1.375 2.121
H -2.624 0.092 -0.441
H -2.470 0.350 4.353
H -2.547 0.221 1.956
Pd -3.565 -0.721 0.737
Pd -1.529 1.163 3.175